a:
## AlH5 (PBE)

Data for AlH5 after structural relaxation.

Results
SG: Cmmm
DOS(E_F): 0.5 states/eV/f.u.
density: 1.69 g/cm³
calculated volume: 31 Å³/cell

a b c (Å): 2.8518 2.8455 4.1201
angles (deg): 110.20 90.00 90.00
Fractional positions:
1 H 0.5000 0.8443 0.6886
2 H 0.0000 0.6516 0.3032
3 H 0.5000 0.1557 0.3114
4 H 0.5000 0.5000 0.0000
5 H 0.0000 0.3484 0.6968
6 Al 0.0000 0.0000 0.0000


b:
## AlH5 (PBE)

Data for AlH5 after structural relaxation.

Results
SG: Pm
DOS(E_F): 0.0 states/eV/f.u.
density: 1.04 g/cm³
calculated volume: 51 Å³/cell

a b c (Å): 2.5938 3.3942 5.7976
angles (deg): 90.00 92.24 90.00
Fractional positions:
1 H 0.0566 0.0000 0.6113
2 H 0.9330 0.0000 0.0736
3 H 0.5389 0.5000 0.4095
4 H 0.1753 0.0000 0.1487
5 H 0.5733 0.5000 0.8126
6 Al 0.0562 0.5000 0.6111


Most stable: b. Least stable: a.


a:
## Hf2AlH (PBE)

Data for Hf2AlH after structural relaxation.

Results
SG: I-42d
DOS(E_F): 4.0 states/eV/f.u.
density: 9.89 g/cm³
calculated volume: 129 Å³/cell

a b c (Å): 6.4555 6.4555 5.5190
angles (deg): 54.21 54.21 90.00
Fractional positions:
1 Al 0.7500 0.2500 0.5000
2 Al 0.0000 0.0000 0.0000
3 Hf 0.3750 0.4560 0.7500
4 Hf 0.2060 0.6250 0.2500
5 Hf 0.8750 0.7940 0.7500
6 Hf 0.5440 0.1250 0.2500
7 H 0.2500 0.7500 0.5000
8 H 0.5000 0.5000 0.0000


b:
## Hf2AlH (PBE)

Data for Hf2AlH after structural relaxation.

Results
SG: P2_1
DOS(E_F): 2.3 states/eV/f.u.
density: 10.17 g/cm³
calculated volume: 126 Å³/cell

a b c (Å): 3.2783 5.0293 7.8047
angles (deg): 90.00 77.74 90.00
Fractional positions:
1 Al 0.3496 0.8327 0.8120
2 Al 0.5523 0.3327 0.4040
3 H 0.1373 0.9708 0.2342
4 H 0.7647 0.4708 0.9818
5 Hf 0.2136 0.3075 0.0828
6 Hf 0.6884 0.8075 0.1332
7 Hf 0.0127 0.8224 0.4798
8 Hf 0.8892 0.3224 0.7362


Most stable: b. Least stable: a.